# GGA-PBE Y2MnCl, relaxed
# Symmetry ... No. 44
# E_form (uncorrected) ... -0.39 eV per atom
# Magnetization ... 2.6 μB per formula unit
# Calculated volume ... 24.09 Å³ per atom
data_Y2MnCl
_chemical_formula_sum 'Y2 Mn1 Cl1'
_space_group_name_H-M_alt 'P 1'
_space_group_IT_number 1
_cell_length_a 8.433
_cell_length_b 8.433
_cell_length_c 8.433
_cell_angle_alpha 157.15
_cell_angle_beta 155.53
_cell_angle_gamma 33.72
loop_
_space_group_symop_operation_xyz
'x,y,z'
loop_
_atom_site_label
_atom_site_type_symbol
_atom_site_fract_x
_atom_site_fract_y
_atom_site_fract_z
Cl1 Cl 0.450 0.450 0.000
Mn1 Mn 0.696 0.196 0.500
Y1 Y 0.061 0.061 0.000
Y2 Y 0.294 0.794 0.500